# 1
LaTlCd2 PBE-GGA optimized geometry; VASP energy = -2.5778 eV/atom
1.0
-5.2968 -0.4202 -0.5288
-2.8491 -2.7041 3.6170
-3.2377 2.6064 3.3473
Tl Cd La
1 2 1
direct
0.2502 0.2502 0.2502 Tl
0.0000 0.0000 0.0002 Cd
0.7497 0.7498 0.7496 Cd
0.5000 0.5000 0.4999 La



# 2
BaCd PBE-GGA optimized geometry; VASP energy = -1.2711 eV/atom
1.0
10.2340 0.0000 0.0000
0.0000 10.2340 0.0000
0.0000 0.0000 10.2340
Ba Cd
8 8
direct
0.2032 0.7968 0.2032 Ba
0.7968 0.7968 0.7968 Ba
0.2968 0.2968 0.2968 Ba
0.2032 0.2032 0.7968 Ba
0.7032 0.7032 0.2968 Ba
0.7032 0.2968 0.7032 Ba
0.7968 0.2032 0.2032 Ba
0.2968 0.7032 0.7032 Ba
0.3930 0.3930 0.6070 Cd
0.3930 0.6070 0.3930 Cd
0.1070 0.8930 0.8930 Cd
0.6070 0.6070 0.6070 Cd
0.6070 0.3930 0.3930 Cd
0.8930 0.1070 0.8930 Cd
0.1070 0.1070 0.1070 Cd
0.8930 0.8930 0.1070 Cd



# 3
Ti2CoOs PBE-GGA optimized geometry; VASP energy = -8.4403 eV/atom
1.0
-4.9897 -4.0313 -1.7209
4.2756 -3.9023 -3.2559
0.0352 -5.4111 -0.2423
Co Os Ti
2 2 4
direct
0.2500 0.7500 0.5000 Co
0.5000 0.5000 0.0000 Co
0.0000 0.0000 0.0000 Os
0.7500 0.2500 0.5000 Os
0.1433 0.6250 0.2500 Ti
0.3750 0.3933 0.7500 Ti
0.8750 0.8567 0.7500 Ti
0.6067 0.1250 0.2500 Ti



# 4
LaZrRe PBE-GGA optimized geometry; excess energy over the best structure of this formula in the dataset = 15.9 kJ per mole of atoms
1.0
-3.3610 -3.3134 0.6643
-0.0145 -2.6142 3.9852
-3.3937 0.6718 3.2783
Re La Zr
1 1 1
direct
0.7500 0.7500 0.7500 Re
0.5000 0.5000 0.5000 La
0.0000 0.0000 0.0000 Zr



# 5
AgRhS PBE-GGA optimized geometry; E_form (uncorrected) = -0.091 eV/atom
1.0
-0.1137 -1.0740 3.1105
-2.5075 -1.9872 -0.7778
5.9614 -6.7016 -2.0962
Rh S Ag
2 2 2
direct
0.0000 0.5000 0.5902 Rh
0.5000 0.0000 0.4098 Rh
0.5000 0.0000 0.6708 S
0.0000 0.5000 0.3292 S
0.5000 0.0000 0.0926 Ag
0.0000 0.5000 0.9074 Ag



# 6
HoInAs2O8 PBE-GGA optimized geometry; E_form (uncorrected) = -1.854 eV/atom
1.0
5.9081 0.0342 0.0000
-2.5898 5.3104 0.0000
-1.6592 -2.6723 5.0013
As O Ho In
2 8 1 1
direct
0.7500 0.2500 0.5000 As
0.5000 0.5000 0.0000 As
0.3184 0.5012 0.1827 O
0.3184 0.1357 0.8173 O
0.7486 0.0676 0.6810 O
0.3865 0.0676 0.3190 O
0.4988 0.6816 0.8173 O
0.9324 0.2514 0.3190 O
0.8643 0.6816 0.1827 O
0.9324 0.6135 0.6810 O
0.0000 0.0000 0.0000 Ho
0.2500 0.7500 0.5000 In



# 7
Ba3Sm2ErTe6 PBE-GGA optimized geometry; E_form (uncorrected) = -1.537 eV/atom
1.0
-6.3297 -0.9892 -4.7554
6.7815 -3.9116 -1.5389
-2.5771 -4.3334 6.5677
Te Sm Er Ba
6 2 1 3
direct
0.6013 0.9281 0.7830 Te
0.2527 0.2527 0.7800 Te
0.9281 0.6013 0.7830 Te
0.0719 0.3987 0.2170 Te
0.3987 0.0719 0.2170 Te
0.7473 0.7473 0.2200 Te
0.6655 0.3345 0.0000 Sm
0.3345 0.6655 0.0000 Sm
0.0000 0.0000 0.0000 Er
0.1696 0.8304 0.5000 Ba
0.8304 0.1696 0.5000 Ba
0.5000 0.5000 0.5000 Ba



# 8
Ca2ScAlTe PBE-GGA optimized geometry; E_form (uncorrected) = 0.224 eV/atom
1.0
5.7353 0.0000 0.0000
0.0000 5.5195 0.0000
0.0000 0.0000 5.7353
Al Te Sc Ca
1 1 1 2
direct
0.0000 0.5000 0.0000 Al
0.0000 0.0000 0.0000 Te
0.5000 0.5000 0.5000 Sc
0.0000 0.0000 0.5000 Ca
0.5000 0.0000 0.0000 Ca



We obtain total moment values of 0.00; 1.34; 0.00; 0.00; 0.00; 0.00; 0.00; 0.47 μB/cell for the records listed above, in that order.